Li2Mg2In2CoPd | GGA-PBE | relaxed

The structure belongs to space group P-4m2 (No. 115); the cell edges are 4.5232, 4.5232 and 6.4289 Å and the angles 90.00°, 90.00° and 90.00°. The distinct sites, in fractional coordinates, are Li at (0.0000, 0.0000, 0.0000), Li at (0.5000, 0.5000, 0.5000), Mg at (0.0000, 0.5000, 0.2451), In at (0.0000, 0.5000, 0.7661), Co at (0.5000, 0.5000, 0.0000) and Pd at (0.0000, 0.0000, 0.5000).

The calculation puts the raw total energy at -3.3995 eV per atom.



Li2Mg2In2CoPt | GGA-PBE | relaxed

The structure belongs to space group P-4m2 (No. 115); the cell edges are 4.5121, 4.5121 and 6.4137 Å and the angles 90.00°, 90.00° and 90.00°. The distinct sites, in fractional coordinates, are Li at (0.0000, 0.0000, 0.0000), Li at (0.5000, 0.5000, 0.5000), Mg at (0.0000, 0.5000, 0.2480), In at (0.0000, 0.5000, 0.7674), Co at (0.5000, 0.5000, 0.0000) and Pt at (0.0000, 0.0000, 0.5000).

The calculation puts the raw total energy at -3.5542 eV per atom.



LiInCoMo | GGA-PBE | relaxed

The structure belongs to space group F-43m (No. 216); the cell edges are 6.0936, 6.0936 and 6.0936 Å and the angles 90.00°, 90.00° and 90.00°. The distinct sites, in fractional coordinates, are Li at (0.0000, 0.0000, 0.0000), In at (0.2500, 0.2500, 0.2500), Co at (0.0000, 0.0000, 0.5000) and Mo at (0.2500, 0.2500, 0.7500).

The relative energy among the computed polymorphs is 0.0 meV per atom. The calculation puts the raw total energy at -5.4890 eV per atom.



Li2InCoN | GGA-PBE | relaxed

The structure belongs to space group P4/mmm (No. 123); the cell edges are 4.2582, 4.2582 and 3.5101 Å and the angles 90.00°, 90.00° and 90.00°. The distinct sites, in fractional coordinates, are Li at (0.0000, 0.5000, 0.0000), In at (0.0000, 0.0000, 0.5000), Co at (0.5000, 0.5000, 0.5000) and N at (0.5000, 0.5000, 0.0000).

The calculation puts the raw total energy at -4.6741 eV per atom.



LiInCoOs | GGA-PBE | relaxed

The structure belongs to space group F-43m (No. 216); the cell edges are 6.0603, 6.0603 and 6.0603 Å and the angles 90.00°, 90.00° and 90.00°. The distinct sites, in fractional coordinates, are Li at (0.0000, 0.0000, 0.0000), In at (0.2500, 0.2500, 0.2500), Co at (0.0000, 0.0000, 0.5000) and Os at (0.2500, 0.2500, 0.7500).

The relative energy among the computed polymorphs is 0.0 meV per atom. The calculation puts the raw total energy at -5.5327 eV per atom.



LiInCoRe | GGA-PBE | relaxed

The structure belongs to space group F-43m (No. 216); the cell edges are 6.0454, 6.0454 and 6.0454 Å and the angles 90.00°, 90.00° and 90.00°. The distinct sites, in fractional coordinates, are Li at (0.0000, 0.0000, 0.0000), In at (0.2500, 0.2500, 0.2500), Co at (0.0000, 0.0000, 0.5000) and Re at (0.2500, 0.2500, 0.7500).

The relative energy among the computed polymorphs is 0.0 meV per atom. The calculation puts the raw total energy at -5.7412 eV per atom.



LiInCoTc | GGA-PBE | relaxed

The structure belongs to space group F-43m (No. 216); the cell edges are 6.0566, 6.0566 and 6.0566 Å and the angles 90.00°, 90.00° and 90.00°. The distinct sites, in fractional coordinates, are Li at (0.0000, 0.0000, 0.0000), In at (0.2500, 0.2500, 0.2500), Co at (0.0000, 0.0000, 0.5000) and Tc at (0.2500, 0.2500, 0.7500).

The relative energy among the computed polymorphs is 0.0 meV per atom. The calculation puts the raw total energy at -5.3933 eV per atom.



LiInCoW | GGA-PBE | relaxed

The structure belongs to space group F-43m (No. 216); the cell edges are 6.0887, 6.0887 and 6.0887 Å and the angles 90.00°, 90.00° and 90.00°. The distinct sites, in fractional coordinates, are Li at (0.0000, 0.0000, 0.0000), In at (0.2500, 0.2500, 0.2500), Co at (0.0000, 0.0000, 0.5000) and W at (0.2500, 0.2500, 0.7500).

The relative energy among the computed polymorphs is 0.0 meV per atom. The calculation puts the raw total energy at -5.8912 eV per atom.



LiInCoW | GGA-PBE | relaxed

The structure belongs to space group F-43m (No. 216); the cell edges are 6.2534, 6.2534 and 6.2534 Å and the angles 90.00°, 90.00° and 90.00°. The distinct sites, in fractional coordinates, are Li at (0.0000, 0.0000, 0.0000), In at (0.0000, 0.0000, 0.5000), Co at (0.2500, 0.2500, 0.7500) and W at (0.2500, 0.2500, 0.2500).

The relative energy among the computed polymorphs is 482.1 meV per atom. The calculation puts the raw total energy at -5.4091 eV per atom.



LiZrInCo | GGA-PBE | relaxed

The structure belongs to space group F-43m (No. 216); the cell edges are 6.4242, 6.4242 and 6.4242 Å and the angles 90.00°, 90.00° and 90.00°. The distinct sites, in fractional coordinates, are Li at (0.0000, 0.0000, 0.0000), Zr at (0.2500, 0.2500, 0.2500), In at (0.0000, 0.0000, 0.5000) and Co at (0.2500, 0.2500, 0.7500).

The relative energy among the computed polymorphs is 370.2 meV per atom. The calculation puts the raw total energy at -4.9450 eV per atom.



LiZrInCo | GGA-PBE | relaxed

The structure belongs to space group F-43m (No. 216); the cell edges are 6.3476, 6.3476 and 6.3476 Å and the angles 90.00°, 90.00° and 90.00°. The distinct sites, in fractional coordinates, are Li at (0.0000, 0.0000, 0.0000), Zr at (0.2500, 0.2500, 0.7500), In at (0.2500, 0.2500, 0.2500) and Co at (0.0000, 0.0000, 0.5000).

The relative energy among the computed polymorphs is 0.0 meV per atom. The calculation puts the raw total energy at -5.3152 eV per atom.



LuIn2Co | GGA-PBE | relaxed

The structure belongs to space group F-43m (No. 216); the cell edges are 6.8280, 6.8280 and 6.8280 Å and the angles 90.00°, 90.00° and 90.00°. The distinct sites, in fractional coordinates, are Lu at (0.0000, 0.0000, 0.0000), In at (0.0000, 0.0000, 0.5000), In at (0.2500, 0.2500, 0.7500) and Co at (0.2500, 0.2500, 0.2500).

The calculation puts the raw total energy at -4.2556 eV per atom.



Lu8In3Co | GGA-PBE | relaxed

The structure belongs to space group P6_3mc (No. 186); the cell edges are 10.1358, 10.1358 and 6.8555 Å and the angles 90.00°, 90.00° and 120.00°. The distinct sites, in fractional coordinates, are Lu at (0.0000, 0.0000, 0.0000), Lu at (0.0681, 0.5340, 0.4864), Lu at (0.1792, 0.3584, 0.7791), Lu at (0.3333, 0.6667, 0.0961), In at (0.1626, 0.3252, 0.2402) and Co at (0.3333, 0.6667, 0.7092).

The calculation puts the raw total energy at -4.6491 eV per atom.



Lu2InCo | GGA-PBE | relaxed

The structure belongs to space group F-43m (No. 216); the cell edges are 6.8371, 6.8371 and 6.8371 Å and the angles 90.00°, 90.00° and 90.00°. The distinct sites, in fractional coordinates, are Lu at (0.0000, 0.0000, 0.0000), Lu at (0.2500, 0.2500, 0.2500), In at (0.0000, 0.0000, 0.5000) and Co at (0.2500, 0.2500, 0.7500).

The calculation puts the raw total energy at -4.7657 eV per atom.



LuInCoMo | GGA-PBE | relaxed

The structure belongs to space group F-43m (No. 216); the cell edges are 6.6213, 6.6213 and 6.6213 Å and the angles 90.00°, 90.00° and 90.00°. The distinct sites, in fractional coordinates, are Lu at (0.0000, 0.0000, 0.0000), In at (0.0000, 0.0000, 0.5000), Co at (0.2500, 0.2500, 0.7500) and Mo at (0.2500, 0.2500, 0.2500).

The relative energy among the computed polymorphs is 0.0 meV per atom. The calculation puts the raw total energy at -6.0468 eV per atom.



LuInCoMo | GGA-PBE | relaxed

The structure belongs to space group F-43m (No. 216); the cell edges are 6.6283, 6.6283 and 6.6283 Å and the angles 90.00°, 90.00° and 90.00°. The distinct sites, in fractional coordinates, are Lu at (0.0000, 0.0000, 0.0000), In at (0.2500, 0.2500, 0.2500), Co at (0.0000, 0.0000, 0.5000) and Mo at (0.2500, 0.2500, 0.7500).

The relative energy among the computed polymorphs is 113.5 meV per atom. The calculation puts the raw total energy at -5.9333 eV per atom.



LuInCoNi | GGA-PBE | relaxed

The structure belongs to space group F-43m (No. 216); the cell edges are 6.4747, 6.4747 and 6.4747 Å and the angles 90.00°, 90.00° and 90.00°. The distinct sites, in fractional coordinates, are Lu at (0.0000, 0.0000, 0.0000), In at (0.2500, 0.2500, 0.2500), Co at (0.0000, 0.0000, 0.5000) and Ni at (0.2500, 0.2500, 0.7500).

The relative energy among the computed polymorphs is 343.0 meV per atom. The calculation puts the raw total energy at -4.9257 eV per atom.



LuInCoNi | GGA-PBE | relaxed

The structure belongs to space group F-43m (No. 216); the cell edges are 6.3889, 6.3889 and 6.3889 Å and the angles 90.00°, 90.00° and 90.00°. The distinct sites, in fractional coordinates, are Lu at (0.0000, 0.0000, 0.0000), In at (0.0000, 0.0000, 0.5000), Co at (0.2500, 0.2500, 0.7500) and Ni at (0.2500, 0.2500, 0.2500).

The relative energy among the computed polymorphs is 0.0 meV per atom. The calculation puts the raw total energy at -5.2687 eV per atom.



LuInCoNi | GGA-PBE | relaxed

The structure belongs to space group F-43m (No. 216); the cell edges are 6.4877, 6.4877 and 6.4877 Å and the angles 90.00°, 90.00° and 90.00°. The distinct sites, in fractional coordinates, are Lu at (0.0000, 0.0000, 0.0000), In at (0.2500, 0.2500, 0.2500), Co at (0.2500, 0.2500, 0.7500) and Ni at (0.0000, 0.0000, 0.5000).

The relative energy among the computed polymorphs is 365.1 meV per atom. The calculation puts the raw total energy at -4.9036 eV per atom.